No. 1
DFT (GGA-PBE) results for a relaxed structure of Cr2ReSe.

offset from the most stable computed form: 0.000 eV per atom
DOS(E_F): 4.23 states/eV per cell
VASP energy: -0.6317 Ry/atom
formation energy from raw total energies: 0.800 eV per formula unit
SG: P4/mmm, No. 123

Cell: 2.9633 2.9633 6.1711 Å, 90.00 90.00 90.00°
Closest atoms and distances in Å follow each position.
Fractional positions:
Cr (0.0000, 0.0000, 0.2491)  4 Re 2.60, 4 Se 2.61
Cr (0.0000, 0.0000, 0.7509)  4 Re 2.60, 4 Se 2.61
Re (0.5000, 0.5000, 0.0000)  8 Cr 2.60
Se (0.5000, 0.5000, 0.5000)  8 Cr 2.61


No. 2
DFT (GGA-PBE) results for a relaxed structure of Dy3Ho3Ge4.

energy of formation from the pure elements: -781.1 meV per atom
DOS(E_F): 8.42 states/eV per cell
VASP energy: -0.3956 Ry/atom
SG: Amm2, No. 38

Cell: 4.2342 7.5677 7.5677 Å, 89.94 90.00 90.00°
Closest atoms and distances in Å follow each position.
Fractional positions:
Dy (0.0000, 0.0000, 0.0000)  6 Ge 3.03-3.11
Dy (0.0000, 0.4997, 0.8454)  6 Ge 3.03-3.12
Dy (0.0000, 0.8454, 0.4997)  6 Ge 3.03-3.12
Ho (0.0000, 0.3454, 0.3454)  6 Ge 3.02-3.11
Ho (0.5000, 0.1726, 0.6728)  4 Ge 2.99
Ho (0.5000, 0.6728, 0.1726)  4 Ge 2.99
Ge (0.5000, 0.0480, 0.2980)  1 Ge 2.67, 1 Ho 2.99
Ge (0.5000, 0.2980, 0.0480)  1 Ge 2.67, 1 Ho 2.99
Ge (0.5000, 0.5465, 0.5465)  1 Ge 2.69, 2 Ho 2.99
Ge (0.5000, 0.7978, 0.7978)  1 Ge 2.69, 2 Ho 2.99


No. 3
DFT (GGA-PBE) results for a relaxed structure of CsMg3Bi.

energy of formation from the pure elements: 1240.6 meV per atom
offset from the most stable computed form: 0.937 eV per atom
DOS(E_F): 5.95 states/eV per cell
VASP energy: -0.0487 Ry/atom
SG: Pm-3m, No. 221

Cell: 6.2428 6.2428 6.2428 Å, 90.00 90.00 90.00°
Closest atoms and distances in Å follow each position.
Fractional positions:
Cs (0.0000, 0.0000, 0.0000)  6 Mg 3.12
Mg (0.0000, 0.0000, 0.5000)  2 Cs 3.12
Mg (0.0000, 0.5000, 0.0000)  2 Cs 3.12
Mg (0.5000, 0.0000, 0.0000)  2 Cs 3.12
Bi (0.5000, 0.5000, 0.5000)  12 Mg 4.41


No. 4
DFT (GGA-PBE) results for a relaxed structure of Tb5Pm2Tl4.

energy of formation from the pure elements: -77.8 meV per atom
DOS(E_F): 11.12 states/eV per cell
VASP energy: -0.2871 Ry/atom
SG: Immm, No. 71

Cell: 11.5901 11.5901 11.5901 Å, 161.42 134.45 49.60°
Closest atoms and distances in Å follow each position.
Fractional positions:
Tb (0.0000, 0.0000, 0.0000)  4 Tl 3.07
Tb (0.0507, 0.3470, 0.7037)  2 Tl 3.13-3.27
Tb (0.3567, 0.6530, 0.7037)  2 Tl 3.13-3.27
Tb (0.6433, 0.3470, 0.2963)  2 Tl 3.13-3.27
Tb (0.9493, 0.6530, 0.2963)  2 Tl 3.13-3.27
Pm (0.4180, 0.9180, 0.5000)  5 Tl 3.03-3.27
Pm (0.5820, 0.0820, 0.5000)  5 Tl 3.03-3.27
Tl (0.2707, 0.5000, 0.7707)  4 Tb 3.07-3.27, 4 Pm 3.27
Tl (0.2738, 0.7738, 0.5000)  1 Pm 3.03, 2 Tb 3.13
Tl (0.7262, 0.2262, 0.5000)  1 Pm 3.03, 2 Tb 3.13
Tl (0.7293, 0.5000, 0.2293)  4 Tb 3.07-3.27, 4 Pm 3.27


No. 5
DFT (GGA-PBE) results for a relaxed structure of KZrIn.

energy of formation from the pure elements: 328.7 meV per atom
offset from the most stable computed form: 0.380 eV per atom
DOS(E_F): 1.89 states/eV per cell
VASP energy: -0.2792 Ry/atom
SG: P3m1, No. 156

Cell: 3.2936 3.2936 9.1386 Å, 90.00 90.00 120.00°
Closest atoms and distances in Å follow each position.
Fractional positions:
K (0.0000, 0.0000, 0.0000)  6 K 3.29, 3 In 3.65
Zr (0.6667, 0.3333, 0.3775)  3 In 3.20, 6 Zr 3.29
In (0.3333, 0.6667, 0.6589)  3 Zr 3.20, 6 In 3.29


No. 6
DFT (GGA-PBE) results for a relaxed structure of Li2InAs.

energy of formation from the pure elements: -396.8 meV per atom
DOS(E_F): 0.82 states/eV per cell
VASP energy: -0.2352 Ry/atom
SG: P2/m, No. 10

Cell: 3.0786 3.8938 6.0417 Å, 90.00 90.50 90.00°
Closest atoms and distances in Å follow each position.
Fractional positions:
Li (0.0023, 0.0000, 0.2877)  1 Li 2.57, 4 As 2.78-2.80
Li (0.9977, 0.0000, 0.7123)  1 Li 2.57, 4 As 2.78-2.80
In (0.5000, 0.5000, 0.0000)  2 As 3.02, 8 Li 3.03, 2 In 3.08
As (0.5000, 0.5000, 0.5000)  8 Li 2.78-2.80, 2 In 3.02, 2 As 3.08


No. 7
DFT (GGA-PBE) results for a relaxed structure of Sm2AlGe4Ir3.

energy of formation from the pure elements: -699.0 meV per atom
DOS(E_F): 5.78 states/eV per cell
VASP energy: -0.4794 Ry/atom
SG: P-4m2, No. 115

Cell: 4.2203 4.2203 10.5135 Å, 90.00 90.00 90.00°
Closest atoms and distances in Å follow each position.
Fractional positions:
Sm (0.0000, 0.5000, 0.2421)  8 Ge 3.22-3.31, 6 Ir 3.23-3.44, 2 Al 3.44
Sm (0.5000, 0.0000, 0.7579)  8 Ge 3.22-3.31, 6 Ir 3.23-3.44, 2 Al 3.44
Al (0.0000, 0.0000, 0.5000)  4 Ge 2.60
Ge (0.0000, 0.0000, 0.0000)  4 Ir 2.48
Ge (0.0000, 0.5000, 0.6439)  3 Ir 2.44-2.60, 2 Al 2.60
Ge (0.5000, 0.0000, 0.3561)  3 Ir 2.44-2.60, 2 Al 2.60
Ge (0.5000, 0.5000, 0.0000)  4 Ir 2.48
Ir (0.0000, 0.5000, 0.8756)  5 Ge 2.44-2.48
Ir (0.5000, 0.0000, 0.1244)  5 Ge 2.44-2.48
Ir (0.5000, 0.5000, 0.5000)  4 Ge 2.60


No. 8
DFT (GGA-PBE) results for a relaxed structure of Tb8Y6Sc.

energy of formation from the pure elements: 142.0 meV per atom
offset from the most stable computed form: 0.027 eV per atom
DOS(E_F): 25.51 states/eV per cell
VASP energy: -0.3921 Ry/atom
SG: P-3, No. 147

Cell: 9.8137 9.8137 5.7878 Å, 90.00 90.00 120.00°
Closest atoms and distances in Å follow each position.
Fractional positions:
Tb (0.0521, 0.7817, 0.2330)  1 Sc 2.89
Tb (0.2183, 0.2704, 0.2330)  1 Sc 2.89
Tb (0.2704, 0.0521, 0.7670)  1 Sc 2.89
Tb (0.3333, 0.6667, 0.2337)  3 Tb 3.46, 9 Y 3.59-3.69
Tb (0.6667, 0.3333, 0.7663)  3 Tb 3.46, 9 Y 3.59-3.69
Tb (0.7296, 0.9479, 0.2330)  1 Sc 2.89
Tb (0.7817, 0.7296, 0.7670)  1 Sc 2.89
Tb (0.9479, 0.2183, 0.7670)  1 Sc 2.89
Y (0.0917, 0.6225, 0.7421)  8 Tb 3.36-3.69, 2 Y 3.54-3.69
Y (0.3775, 0.4692, 0.7421)  8 Tb 3.36-3.69, 2 Y 3.54-3.69
Y (0.4692, 0.0917, 0.2579)  8 Tb 3.36-3.69, 2 Y 3.54-3.69
Y (0.5308, 0.9083, 0.7421)  8 Tb 3.36-3.69, 2 Y 3.54-3.69
Y (0.6225, 0.5308, 0.2579)  8 Tb 3.36-3.69, 2 Y 3.54-3.69
Y (0.9083, 0.3775, 0.2579)  8 Tb 3.36-3.69, 2 Y 3.54-3.69
Sc (0.0000, 0.0000, 0.5000)  6 Tb 2.89


No. 9
DFT (GGA-PBE) results for a relaxed structure of KRh.

energy of formation from the pure elements: 1716.1 meV per atom
offset from the most stable computed form: 1.347 eV per atom
DOS(E_F): 16.24 states/eV per cell
VASP energy: -0.1844 Ry/atom
SG: P6_3/mmc, No. 194

Cell: 5.3417 5.3417 6.0950 Å, 90.00 90.00 120.00°
Closest atoms and distances in Å follow each position.
Fractional positions:
K (0.3333, 0.6667, 0.2500)  5 Rh 3.05-3.08
K (0.6667, 0.3333, 0.7500)  5 Rh 3.05-3.08
Rh (0.3333, 0.6667, 0.7500)  5 K 3.05-3.08
Rh (0.6667, 0.3333, 0.2500)  5 K 3.05-3.08


No. 10
DFT (GGA-PBE) results for a relaxed structure of LaDyHo4.

energy of formation from the pure elements: 67.7 meV per atom
offset from the most stable computed form: 0.000 eV per atom
DOS(E_F): 18.85 states/eV per cell
VASP energy: -0.3361 Ry/atom
SG: P2_1/m, No. 11

Cell: 5.6892 7.0043 9.6516 Å, 90.00 90.56 90.00°
Closest atoms and distances in Å follow each position.
Fractional positions:
La (0.2153, 0.2500, 0.4192)  7 Ho 3.25-3.61
La (0.7847, 0.7500, 0.5808)  7 Ho 3.25-3.61
Dy (0.2260, 0.7500, 0.0824)  9 Ho 3.22-3.60
Dy (0.7740, 0.2500, 0.9176)  9 Ho 3.22-3.60
Ho (0.2508, 0.0033, 0.7589)  8 Ho 3.46-3.85, 3 Dy 3.57-3.76, 2 La 3.61-3.71
Ho (0.2508, 0.4967, 0.7589)  8 Ho 3.46-3.85, 3 Dy 3.57-3.76, 2 La 3.61-3.71
Ho (0.2746, 0.2500, 0.0812)  4 Dy 3.24-3.51, 1 La 3.28, 4 Ho 3.56-3.57
Ho (0.2790, 0.7500, 0.4150)  1 Dy 3.22, 4 La 3.25-3.52
Ho (0.7210, 0.2500, 0.5850)  1 Dy 3.22, 4 La 3.25-3.52
Ho (0.7254, 0.7500, 0.9188)  4 Dy 3.24-3.51, 1 La 3.28, 4 Ho 3.56-3.57
Ho (0.7492, 0.5033, 0.2411)  8 Ho 3.46-3.85, 3 Dy 3.57-3.76, 2 La 3.61-3.71
Ho (0.7492, 0.9967, 0.2411)  8 Ho 3.46-3.85, 3 Dy 3.57-3.76, 2 La 3.61-3.71


No. 11
DFT (GGA-PBE) results for a relaxed structure of NiAgAu3.

energy of formation from the pure elements: 628.1 meV per atom
offset from the most stable computed form: 0.000 eV per atom
DOS(E_F): 2.50 states/eV per cell
VASP energy: -0.2253 Ry/atom
SG: Pm-3m, No. 221

Cell: 4.7680 4.7680 4.7680 Å, 90.00 90.00 90.00°
Closest atoms and distances in Å follow each position.
Fractional positions:
Ni (0.0000, 0.0000, 0.0000)  6 Au 2.38
Ag (0.5000, 0.5000, 0.5000)  12 Au 3.37
Au (0.0000, 0.0000, 0.5000)  2 Ni 2.38
Au (0.0000, 0.5000, 0.0000)  2 Ni 2.38
Au (0.5000, 0.0000, 0.0000)  2 Ni 2.38


No. 12
DFT (GGA-PBE) results for a relaxed structure of NdSmLuPu.

energy of formation from the pure elements: 206.8 meV per atom
DOS(E_F): 12.72 states/eV per cell
VASP energy: -0.5055 Ry/atom
SG: F-43m, No. 216

Cell: 5.6339 5.6339 5.6339 Å, 60.00 60.00 60.00°
Closest atoms and distances in Å follow each position.
Fractional positions:
Nd (0.0000, 0.0000, 0.0000)  4 Pu 3.45, 4 Lu 3.45
Sm (0.5000, 0.5000, 0.5000)  4 Pu 3.45, 4 Lu 3.45
Lu (0.7500, 0.7500, 0.7500)  4 Sm 3.45, 4 Nd 3.45
Pu (0.2500, 0.2500, 0.2500)  4 Nd 3.45, 4 Sm 3.45